A plane-wave DFT calculation with meta-GGA SCAN was carried out for a crystal of Cu2Si relaxed with PBEsol.

Cell lengths 5.7521, 5.7521, 3.6087 Å; angles 90.00, 90.00, 143.68 degrees
Fractional coordinates of all 6 atoms:
Cu (0.0000, 0.0000, 0.0000)
Cu (0.1692, 0.8308, 0.5000)
Cu (0.5000, 0.5000, 0.5000)
Cu (0.8308, 0.1692, 0.5000)
Si (0.3376, 0.6624, 0.0000)
Si (0.6624, 0.3376, 0.0000)

Output
Calculated volume (A^3/atom): 11.79
Uncorrected formation energy (eV/atom): 0.02

***

A plane-wave DFT calculation with meta-GGA SCAN was carried out for a crystal of Cu2Si relaxed with PBEsol.

Cell lengths 5.0097, 5.0097, 6.3124 Å; angles 111.82, 111.82, 29.52 degrees
Fractional coordinates of all 6 atoms:
Cu (0.0550, 0.0550, 0.3101)
Cu (0.3610, 0.3610, 0.9722)
Cu (0.6390, 0.6390, 0.0278)
Cu (0.9450, 0.9450, 0.6899)
Si (0.3306, 0.3306, 0.3381)
Si (0.6694, 0.6694, 0.6619)

Output
Calculated volume (A^3/atom): 12.01
Uncorrected formation energy (eV/atom): 0.03

***

A plane-wave DFT calculation with meta-GGA SCAN was carried out for a crystal of Cu5Si relaxed with PBEsol.

Cell lengths 4.8211, 4.8211, 5.9058 Å; angles 105.22, 105.22, 31.37 degrees
Fractional coordinates of all 6 atoms:
Cu (0.0000, 0.0000, 0.0000)
Cu (0.0459, 0.0459, 0.6024)
Cu (0.3258, 0.3258, 0.6718)
Cu (0.3806, 0.3806, 0.2653)
Cu (0.6646, 0.6646, 0.3324)
Si (0.7137, 0.7137, 0.9358)

Output
Offset from the most stable computed form (eV/f.u.): 0.24
Calculated volume (A^3/atom): 11.46
Uncorrected formation energy (eV/atom): -0.03